# Ga2Ag2Au7, relaxed, DFT PBE-GGA
# * uncorrected energy: -0.1176 Ha/atom
# * formation energy: -4 kJ/mol of atoms
# * energy above the most stable polymorph in this dataset: 46 meV/atom
# * SG: No. 12
# * size of the total moment: 0.000 μB per atom
# * DOS at the Fermi energy: 2.8 states/eV per cell
data_Ga2Ag2Au7
_space_group_name_H-M_alt 'P 1'
_space_group_IT_number 1
_cell_length_a 6.2827
_cell_length_b 6.2827
_cell_length_c 5.5169
_cell_angle_alpha 99.84
_cell_angle_beta 99.84
_cell_angle_gamma 79.15
loop_
_space_group_symop_operation_xyz
'x,y,z'
loop_
_atom_site_label
_atom_site_type_symbol
_atom_site_fract_x
_atom_site_fract_y
_atom_site_fract_z
Ga1 Ga 0.2414 0.2414 0.3286
Ga2 Ga 0.7586 0.7586 0.6714
Ag1 Ag 0.1754 0.8246 0.0000
Ag2 Ag 0.8246 0.1754 0.0000
Au1 Au 0.0000 0.0000 0.5000
Au2 Au 0.0541 0.4175 0.7554
Au3 Au 0.4175 0.0541 0.7554
Au4 Au 0.4966 0.4966 0.2500
Au5 Au 0.5034 0.5034 0.7500
Au6 Au 0.5825 0.9459 0.2446
Au7 Au 0.9459 0.5825 0.2446

***

# LaPmTe2, relaxed, DFT PBE-GGA
# * uncorrected energy: -0.2020 Ha/atom
# * energy above the most stable polymorph in this dataset: 0 meV/atom
# * SG: No. 12
# * size of the total moment: 0.000 μB per atom
# * raw formation energy: -1506 meV/atom
# * DOS at the Fermi energy: 2.5 states/eV per cell
data_LaPmTe2
_space_group_name_H-M_alt 'P 1'
_space_group_IT_number 1
_cell_length_a 4.5356
_cell_length_b 4.5356
_cell_length_c 7.8032
_cell_angle_alpha 106.85
_cell_angle_beta 106.85
_cell_angle_gamma 59.91
loop_
_space_group_symop_operation_xyz
'x,y,z'
loop_
_atom_site_label
_atom_site_type_symbol
_atom_site_fract_x
_atom_site_fract_y
_atom_site_fract_z
La1 La 0.0000 0.0000 0.0000
Pm1 Pm 0.5000 0.5000 0.5000
Te1 Te 0.2475 0.2475 0.7426
Te2 Te 0.7525 0.7525 0.2574

***

Copy entry 1 word for word.
# Ga2Ag2Au7, relaxed, DFT PBE-GGA
# * uncorrected energy: -0.1176 Ha/atom
# * formation energy: -4 kJ/mol of atoms
# * energy above the most stable polymorph in this dataset: 46 meV/atom
# * SG: No. 12
# * size of the total moment: 0.000 μB per atom
# * DOS at the Fermi energy: 2.8 states/eV per cell
data_Ga2Ag2Au7
_space_group_name_H-M_alt 'P 1'
_space_group_IT_number 1
_cell_length_a 6.2827
_cell_length_b 6.2827
_cell_length_c 5.5169
_cell_angle_alpha 99.84
_cell_angle_beta 99.84
_cell_angle_gamma 79.15
loop_
_space_group_symop_operation_xyz
'x,y,z'
loop_
_atom_site_label
_atom_site_type_symbol
_atom_site_fract_x
_atom_site_fract_y
_atom_site_fract_z
Ga1 Ga 0.2414 0.2414 0.3286
Ga2 Ga 0.7586 0.7586 0.6714
Ag1 Ag 0.1754 0.8246 0.0000
Ag2 Ag 0.8246 0.1754 0.0000
Au1 Au 0.0000 0.0000 0.5000
Au2 Au 0.0541 0.4175 0.7554
Au3 Au 0.4175 0.0541 0.7554
Au4 Au 0.4966 0.4966 0.2500
Au5 Au 0.5034 0.5034 0.7500
Au6 Au 0.5825 0.9459 0.2446
Au7 Au 0.9459 0.5825 0.2446

***

Repeat the first record exactly.
# Ga2Ag2Au7, relaxed, DFT PBE-GGA
# * uncorrected energy: -0.1176 Ha/atom
# * formation energy: -4 kJ/mol of atoms
# * energy above the most stable polymorph in this dataset: 46 meV/atom
# * SG: No. 12
# * size of the total moment: 0.000 μB per atom
# * DOS at the Fermi energy: 2.8 states/eV per cell
data_Ga2Ag2Au7
_space_group_name_H-M_alt 'P 1'
_space_group_IT_number 1
_cell_length_a 6.2827
_cell_length_b 6.2827
_cell_length_c 5.5169
_cell_angle_alpha 99.84
_cell_angle_beta 99.84
_cell_angle_gamma 79.15
loop_
_space_group_symop_operation_xyz
'x,y,z'
loop_
_atom_site_label
_atom_site_type_symbol
_atom_site_fract_x
_atom_site_fract_y
_atom_site_fract_z
Ga1 Ga 0.2414 0.2414 0.3286
Ga2 Ga 0.7586 0.7586 0.6714
Ag1 Ag 0.1754 0.8246 0.0000
Ag2 Ag 0.8246 0.1754 0.0000
Au1 Au 0.0000 0.0000 0.5000
Au2 Au 0.0541 0.4175 0.7554
Au3 Au 0.4175 0.0541 0.7554
Au4 Au 0.4966 0.4966 0.2500
Au5 Au 0.5034 0.5034 0.7500
Au6 Au 0.5825 0.9459 0.2446
Au7 Au 0.9459 0.5825 0.2446

***

Q: What is the DOS at the Fermi energy in the second record?
A: 2.5 states/eV per cell